# YAu2F2 GGA-PBEsol optimized geometry
data_YAu2F2
_chemical_formula_sum 'Y1 Au2 F2'
_cell_length_a 6.2981
_cell_length_b 6.2981
_cell_length_c 6.2981
_cell_angle_alpha 144.67
_cell_angle_beta 144.67
_cell_angle_gamma 50.82
_space_group_name_H-M_alt 'P 1'
_space_group_IT_number 1
_space_group_name_Hall 'P 1'
loop_
_atom_site_label
_atom_site_fract_x
_atom_site_fract_y
_atom_site_fract_z
_atom_site_occupancy
Y1 0.0000 0.0000 0.0000 1
Au1 0.3811 0.3811 0.0000 1
Au2 0.6189 0.6189 0.0000 1
F1 0.2500 0.7500 0.5000 1
F2 0.7500 0.2500 0.5000 1
# Space group ... I4/mmm, No. 139
# E_tot ... -4.804 eV/atom
# Formation energy without anion corrections ... -1.0987 eV per atom